[1]
AcErCd6 (GGA-PBE, relaxed); DFT formation energy = -5.4 kcal/mol of atoms; SG = Pmm2; uncorrected energy = -16.0 eV/f.u.; DOS at the Fermi energy = 0.46 states/eV/atom; crystal system = orthorhombic
1.0
5.233 0.000 0.000
0.000 7.393 0.000
0.000 0.000 5.235
Ac Er Cd
1 1 6
Cartesian
0.000 0.000 0.000 Ac
2.617 3.697 2.598 Er
0.000 2.012 2.619 Cd
0.000 3.697 0.003 Cd
0.000 5.381 2.619 Cd
2.617 0.000 2.609 Cd
2.617 2.013 5.216 Cd
2.617 5.380 5.216 Cd


[2]
Y2VNi (GGA-PBE, relaxed); DFT formation energy = 8.9 kcal/mol of atoms; SG = I-42d; uncorrected energy = -26.3 eV/f.u.; DOS at the Fermi energy = 0.99 states/eV/atom; crystal system = tetragonal
1.0
7.674 0.000 0.000
0.000 7.674 0.000
0.000 0.000 6.147
Y V Ni
8 4 4
Cartesian
1.593 1.918 0.768 Y
1.918 5.430 2.305 Y
1.918 6.080 5.379 Y
2.244 1.918 3.842 Y
5.430 5.755 3.842 Y
5.755 1.593 5.379 Y
5.755 2.244 2.305 Y
6.080 5.755 0.768 Y
0.000 0.000 3.074 V
0.000 3.837 4.611 V
3.837 0.000 1.537 V
3.837 3.837 0.000 V
0.000 0.000 0.000 Ni
0.000 3.837 1.537 Ni
3.837 0.000 4.611 Ni
3.837 3.837 3.074 Ni


[3]
NaCNF2 (GGA-PBE, relaxed); SG = P4/mmm; uncorrected energy = -15.4 eV/f.u.; DOS at the Fermi energy = 0.94 states/eV/atom; crystal system = tetragonal; formation energy without anion corrections = 693 kJ/mol of formula units
1.0
4.194 0.000 0.000
0.000 4.194 0.000
0.000 0.000 4.532
Na C N F
1 1 1 2
Cartesian
0.000 0.000 0.000 Na
2.097 2.097 2.266 C
0.000 0.000 2.266 N
0.000 2.097 0.000 F
2.097 0.000 0.000 F


no.,energy above the most stable polymorph in this dataset (kJ/mol of formula units)
1,3
2,109
3,1058